CeErTcAg PBE relaxed; M_tot = 1.408 μB per cell; space group = No. 216; energy of formation = -0.08 eV per atom; total energy = -6.0133 eV per atom
1.0
7.0595 0.0000 0.0000
0.0000 7.0595 0.0000
0.0000 0.0000 7.0595
Ce Er Tc Ag
4 4 4 4
Direct
0.0000 0.0000 0.0000
0.0000 0.5000 0.5000
0.5000 0.0000 0.5000
0.5000 0.5000 0.0000
0.0000 0.0000 0.5000
0.0000 0.5000 0.0000
0.5000 0.0000 0.0000
0.5000 0.5000 0.5000
0.2500 0.2500 0.2500
0.2500 0.7500 0.7500
0.7500 0.2500 0.7500
0.7500 0.7500 0.2500
0.2500 0.2500 0.7500
0.2500 0.7500 0.2500
0.7500 0.2500 0.2500
0.7500 0.7500 0.7500